Below is crystalline NiOsRh at its relaxed geometry, with properties calculated at the PBEsol level.

Values from the calculation:
- formation enthalpy at 0 K (eV/atom) = 0.0844
- total magnetization (μB/cell) = 0.0
- total energy (eV/f.u.) = -26.26

a = 2.6597 Å, b = 2.6597 Å, c = 10.7847 Å
α = 90.00°, β = 90.00°, γ = 90.00°
Space group I4mm (No. 107)
Unique sites:
Ni 0.0000 0.0000 0.0000 (multiplicity 2)
Os 0.0000 0.0000 0.6592 (multiplicity 2)
Rh 0.0000 0.0000 0.3302 (multiplicity 2)

=====

Below is crystalline SeBr3 at its relaxed geometry, with properties calculated at the PBEsol level.

Values from the calculation:
- total magnetization (μB/cell) = 0.0
- total energy (eV/f.u.) = -7.61
- formation energy from raw total energies (eV per formula unit) = 1.85

a = 3.2312 Å, b = 3.2312 Å, c = 9.2892 Å
α = 90.00°, β = 90.00°, γ = 90.00°
Space group P4/mmm (No. 123)
Unique sites:
Se 0.0000 0.0000 0.0000 (multiplicity 1)
Br 0.0000 0.0000 0.5000 (multiplicity 1)
Br 0.5000 0.5000 0.1933 (multiplicity 2)

=====

Below is crystalline BiN3Cl at its relaxed geometry, with properties calculated at the PBEsol level.

Values from the calculation:
- total magnetization (μB/cell) = 0.0
- total energy (eV/f.u.) = -21.90
- formation energy from raw total energies (eV per formula unit) = 9.97

a = 3.8804 Å, b = 3.8804 Å, c = 3.8804 Å
α = 90.00°, β = 90.00°, γ = 90.00°
Space group Pm-3m (No. 221)
Unique sites:
Bi 0.0000 0.0000 0.0000 (multiplicity 1)
N 0.0000 0.5000 0.5000 (multiplicity 3)
Cl 0.5000 0.5000 0.5000 (multiplicity 1)

=====

Below is crystalline Ba2TiO at its relaxed geometry, with properties calculated at the PBEsol level.

Values from the calculation:
- total magnetization (μB/cell) = 15.3
- total energy (eV/f.u.) = -16.70
- formation energy from raw total energies (eV per formula unit) = 1.17

a = 7.6045 Å, b = 7.6045 Å, c = 7.6045 Å
α = 90.00°, β = 90.00°, γ = 90.00°
Space group Fm-3m (No. 225)
Unique sites:
Ba 0.2500 0.2500 0.2500 (multiplicity 8)
Ti 0.0000 0.0000 0.0000 (multiplicity 4)
O 0.0000 0.0000 0.5000 (multiplicity 4)

=====

Below is crystalline CaFeSi2N at its relaxed geometry, with properties calculated at the PBEsol level.

Values from the calculation:
- total magnetization (μB/cell) = 0.5
- total energy (eV/f.u.) = -30.21
- formation energy from raw total energies (eV per formula unit) = 0.90

a = 4.8122 Å, b = 4.8122 Å, c = 3.4210 Å
α = 90.00°, β = 90.00°, γ = 90.00°
Space group P4/mmm (No. 123)
Unique sites:
Ca 0.0000 0.0000 0.0000 (multiplicity 1)
Fe 0.5000 0.5000 0.5000 (multiplicity 1)
Si 0.0000 0.5000 0.5000 (multiplicity 2)
N 0.5000 0.5000 0.0000 (multiplicity 1)

=====

Below is crystalline KTaIn2 at its relaxed geometry, with properties calculated at the PBEsol level.

Values from the calculation:
- formation enthalpy at 0 K (eV/atom) = 0.4343
- total magnetization (μB/cell) = 0.0
- total energy (eV/f.u.) = -17.91

a = 9.4006 Å, b = 2.9768 Å, c = 7.5789 Å
α = 90.00°, β = 94.81°, γ = 90.00°
Space group C2/m (No. 12)
Unique sites:
K 0.0000 0.0000 0.0000 (multiplicity 2)
Ta 0.0000 0.5000 0.5000 (multiplicity 2)
In 0.2426 0.0000 0.6847 (multiplicity 4)

=====

Below is crystalline BTeF2 at its relaxed geometry, with properties calculated at the PBEsol level.

Values from the calculation:
- total magnetization (μB/cell) = 0.2
- total energy (eV/f.u.) = -15.24
- formation energy from raw total energies (eV per formula unit) = -0.84

a = 2.9921 Å, b = 2.9921 Å, c = 27.7843 Å
α = 90.00°, β = 90.00°, γ = 120.00°
Space group R-3m (No. 166, hexagonal axes)
Unique sites:
B 0.0000 0.0000 0.0000 (multiplicity 3)
Te 0.0000 0.0000 0.5000 (multiplicity 3)
F 0.0000 0.0000 0.3643 (multiplicity 6)

=====

Below is crystalline BePt7 at its relaxed geometry, with properties calculated at the PBEsol level.

Values from the calculation:
- formation enthalpy at 0 K (eV/atom) = -0.1445
- total magnetization (μB/cell) = 0.0
- total energy (eV/f.u.) = -53.90

a = 7.7281 Å, b = 7.7281 Å, c = 7.7281 Å
α = 90.00°, β = 90.00°, γ = 90.00°
Space group Fm-3m (No. 225)
Unique sites:
Be 0.0000 0.0000 0.0000 (multiplicity 4)
Pt 0.0000 0.0000 0.5000 (multiplicity 4)
Pt 0.0000 0.2500 0.2500 (multiplicity 24)